First-principles (GGA-PBEsol) data for a relaxed Zn2HgIrBr crystal, as listed in Alexandria via LeMat-Bulk.

Cell: 4.836 4.836 5.162 Å, 90.00 90.00 90.00°
Last column: magnetic moment on the atom in μB.
Fractional positions:
1 Ir 0.000 0.000 0.500  0.82
2 Zn 0.000 0.500 0.000  0.02
3 Hg 0.000 0.000 0.000  -0.01
4 Br 0.500 0.500 0.500  0.06
5 Zn 0.500 0.000 0.000  0.02

Computed properties:
Spin magnetization in Bohr magnetons per cell: 0.97
Mass density in g/cm3: 8.302
Uncorrected formation energy in kJ/mol of formula units: 526
SG: P4/mmm, No. 123